DFT (PBE) results for La3TlSe after structural relaxation.

extended XYZ file:
```
20
Lattice="4.249 0.000 0.000 0.000 9.517 0.000 0.000 0.000 16.393" Properties=species:S:1:pos:R:3 pbc="T T T"
La 3.187 7.893 3.391
La 3.187 3.134 4.806
La 3.187 1.500 0.495
La 1.062 4.518 1.807
La 3.187 0.241 10.004
La 1.062 6.383 11.587
La 3.187 4.999 14.585
La 1.062 1.624 13.002
La 1.062 3.259 8.691
La 1.062 8.018 15.898
La 1.062 9.277 6.389
La 3.187 6.258 7.702
Se 3.187 6.414 0.847
Se 1.062 3.103 15.546
Se 3.187 1.655 7.349
Se 1.062 7.862 9.043
Tl 3.187 8.460 13.277
Tl 1.062 1.057 3.115
Tl 3.187 3.701 11.312
Tl 1.062 5.816 5.081
```

## Properties
formation energy from raw total energies	-916	meV/atom
E above lowest polymorph	0.0000	eV/atom

***

DFT (PBE) results for Sm2ErTm5 after structural relaxation.

extended XYZ file:
```
16
Lattice="-5.910 -4.482 -6.327 5.144 -1.866 -3.483 -0.653 -2.931 10.197" Properties=species:S:1:pos:R:3 pbc="T T T"
Sm 0.779 -4.119 5.845
Sm -1.894 -2.046 -0.638
Sm -2.198 -5.160 -5.458
Sm 0.476 -7.233 1.026
Tm -2.404 -6.924 -1.661
Tm -1.130 -5.376 3.482
Tm 0.985 -2.355 2.049
Tm 0.949 -0.722 -1.231
Tm 2.534 -4.064 -0.788
Tm -1.715 -5.626 -8.579
Tm -3.952 -5.215 1.176
Tm -0.289 -3.903 -3.094
Tm -3.948 -3.795 -2.517
Tm 2.530 -5.484 2.904
Er -0.709 -4.640 0.194
Er -0.326 -1.465 5.099
```

## Properties
E_form	0.17	eV/atom
E above lowest polymorph	0.1455	eV/atom

***

DFT (PBE) results for Na2MnIrS4 after structural relaxation.

extended XYZ file:
```
8
Lattice="-2.031 -1.413 2.677 4.644 -3.969 1.428 0.821 5.699 3.631" Properties=species:S:1:pos:R:3 pbc="T T T"
S 3.597 -1.828 1.764
S 3.266 0.784 5.374
S 1.868 3.558 3.295
S 0.168 -0.467 2.362
Na 2.732 0.865 2.530
Na -0.605 2.143 3.154
Ir 0.000 0.000 0.000
Mn 1.306 -2.691 2.052
```

## Properties
formation energy from raw total energies	-724	meV/atom

***

DFT (PBE) results for AlSi2H after structural relaxation.

extended XYZ file:
```
8
Lattice="4.156 0.000 0.000 0.000 4.156 0.000 2.078 2.078 6.901" Properties=species:S:1:pos:R:3 pbc="T T T"
H 2.078 2.078 0.000
H 2.078 4.156 3.451
Al 0.000 0.000 0.000
Al 4.156 2.078 3.451
Si 3.117 3.527 5.176
Si 2.708 1.039 1.725
Si 1.449 3.117 1.725
Si 5.195 4.786 5.176
```

## Properties
E above lowest polymorph	0.0000	eV/atom

***

DFT (PBE) results for TmGaAu after structural relaxation.

extended XYZ file:
```
6
Lattice="-0.341 -4.829 0.954 4.095 -2.901 -0.380 -1.420 4.505 5.705" Properties=species:S:1:pos:R:3 pbc="T T T"
Au 1.867 1.381 5.097
Au 1.250 -2.187 3.259
Ga 2.450 -4.731 3.602
Ga 0.324 -0.904 5.707
Tm 0.612 -2.714 0.481
Tm -0.170 0.304 2.551
```

## Properties
E_form	-0.64	eV/atom

***

DFT (PBE) results for CaIr after structural relaxation.

extended XYZ file:
```
4
Lattice="10.073 -0.080 -0.047 9.570 3.147 -0.047 9.570 1.494 2.770" Properties=species:S:1:pos:R:3 pbc="T T T"
Ca 22.445 3.504 2.056
Ca 28.678 4.477 2.627
Ir 14.918 2.329 1.367
Ir 6.991 1.092 0.640
```

## Properties
E_form	0.52	eV/atom

***

DFT (PBE) results for Mg6Ga2Au after structural relaxation.

extended XYZ file:
```
9
Lattice="-1.188 4.290 1.076 -4.429 -2.277 4.185 7.504 -0.970 2.359" Properties=species:S:1:pos:R:3 pbc="T T T"
Mg 1.438 1.599 4.919
Mg 3.652 2.737 2.827
Mg -1.691 1.581 1.574
Mg -1.766 -1.694 4.792
Mg 0.448 -0.556 2.701
Mg -3.927 0.432 3.687
Au 0.000 0.000 0.000
Ga -1.244 1.020 4.294
Ga 3.130 0.023 3.325
```

## Properties
E_form	-0.20	eV/atom
E above lowest polymorph	0.0697	eV/atom

***

DFT (PBE) results for BaTa2Re after structural relaxation.

extended XYZ file:
```
4
Lattice="7.933 0.013 0.003 6.017 5.171 -0.003 -6.707 -3.312 2.641" Properties=species:S:1:pos:R:3 pbc="T T T"
Ta 3.738 -0.488 1.322
Ta 1.476 0.548 0.000
Ba 6.089 2.263 0.000
Re 2.914 2.141 1.319
```

## Properties
E_form	0.74	eV/atom
E above lowest polymorph	0.2348	eV/atom

***

DFT (PBE) results for MnNbCl2 after structural relaxation.

extended XYZ file:
```
4
Lattice="0.000 3.055 3.055 3.055 0.000 3.055 3.055 3.055 0.000" Properties=species:S:1:pos:R:3 pbc="T T T"
Cl 1.527 1.527 1.527
Cl 4.582 4.582 4.582
Mn 0.000 0.000 0.000
Nb 3.055 3.055 3.055
```

## Properties
formation energy from raw total energies	603	meV/atom
E above lowest polymorph	0.8307	eV/atom

***

DFT (PBE) results for US2O8F after structural relaxation.

extended XYZ file:
```
12
Lattice="-1.484 -5.065 2.909 -1.880 -4.778 -3.154 4.438 -1.537 -0.363" Properties=species:S:1:pos:R:3 pbc="T T T"
O -1.964 -8.129 -0.255
O 3.037 -3.251 -0.352
O 0.702 -3.891 -0.229
O 2.255 -5.159 -1.598
O -1.181 -6.222 0.991
O 2.412 -5.272 0.801
O 0.372 -7.490 -0.378
O -1.338 -6.109 -1.408
S 2.043 -4.385 -0.340
S -0.970 -6.995 -0.267
F 2.219 -0.769 -0.181
U 0.000 0.000 0.000
```

## Properties
formation energy from raw total energies	-1850	meV/atom

***

DFT (PBE) results for CoTc2Pt after structural relaxation.

extended XYZ file:
```
4
Lattice="4.733 0.030 -0.003 -1.799 4.378 -0.003 0.002 0.003 2.669" Properties=species:S:1:pos:R:3 pbc="T T T"
Tc 1.467 2.204 -0.003
Tc 0.000 0.000 0.000
Pt -0.898 2.190 1.333
Co 2.367 0.016 1.333
```

## Properties
E_form	0.02	eV/atom
E above lowest polymorph	0.0701	eV/atom

***

DFT (PBE) results for HoEr8Al2 after structural relaxation.

extended XYZ file:
```
11
Lattice="4.887 0.000 -1.578 -1.141 7.226 -3.535 0.044 0.435 8.492" Properties=species:S:1:pos:R:3 pbc="T T T"
Al 0.385 4.834 1.192
Al 3.405 2.827 2.188
Er 4.347 2.306 5.107
Er 2.450 3.504 -0.770
Er 2.294 7.039 -1.251
Er -0.558 5.355 -1.727
Er 1.495 0.622 4.630
Er 3.281 5.930 1.804
Er 1.340 4.157 4.149
Er 0.509 1.731 1.575
Ho 2.443 0.000 -0.789
```

## Properties
E_form	-0.11	eV/atom
E above lowest polymorph	0.0000	eV/atom